Entry 1:
Below is a relaxed HfZrBeCo crystal, with properties calculated at the PBE level.

Structure (POSCAR):
```
HfZrBeCo
1.0
0.000 3.175 3.175
3.175 0.000 3.175
3.175 3.175 0.000
Hf Zr Be Co
1 1 1 1
direct
0.000 0.000 0.000
0.500 0.500 0.500
0.750 0.750 0.750
0.250 0.250 0.250
```

Results
DOS at the Fermi energy = 4.13 states/eV/cell
M_tot = 1.04 μB per cell
energy relative to the elements = -0.553 eV per formula unit
calculated density = 8.8 g/cm3
final energy = -7.4716 eV/atom

Entry 2:
Below is a relaxed Mg2Si2SnIr5 crystal, with properties calculated at the PBE level.

Structure (POSCAR):
```
Mg2Si2SnIr5
1.0
9.537 0.000 0.000
0.000 9.537 0.000
0.000 0.000 3.486
Mg Si Sn Ir
4 4 2 10
direct
0.172 0.328 0.000
0.328 0.828 0.000
0.672 0.172 0.000
0.828 0.672 0.000
0.126 0.626 0.000
0.374 0.126 0.000
0.626 0.874 0.000
0.874 0.374 0.000
0.000 0.000 0.000
0.500 0.500 0.000
0.000 0.500 0.500
0.075 0.789 0.500
0.211 0.075 0.500
0.289 0.575 0.500
0.425 0.289 0.500
0.500 0.000 0.500
0.575 0.711 0.500
0.711 0.425 0.500
0.789 0.925 0.500
0.925 0.211 0.500
```

Results
DOS at the Fermi energy = 6.79 states/eV/cell
M_tot = 0.00 μB per cell
calculated density = 12.4 g/cm3
raw formation energy = -0.50 eV per atom
final energy = -6.7333 eV/atom

Entry 3:
Below is a relaxed MgGaAgO crystal, with properties calculated at the PBE level.

Structure (POSCAR):
```
MgGaAgO
1.0
3.129 0.000 0.000
-1.399 4.681 0.000
-0.079 -0.051 5.314
Mg Ga Ag O
1 1 1 1
direct
0.000 0.000 0.000
0.417 0.839 0.455
0.706 0.393 0.330
0.465 0.933 0.797
```

Results
DOS at the Fermi energy = 0.66 states/eV/cell
M_tot = 0.00 μB per cell
E above lowest polymorph = 0.1769 eV per atom
calculated density = 4.6 g/cm3
raw formation energy = -0.90 eV per atom
final energy = -4.0079 eV/atom

Entry 4:
Below is a relaxed KTiC2O8 crystal, with properties calculated at the PBE level.

Structure (POSCAR):
```
KTiC2O8
1.0
4.176 -2.579 0.000
4.176 2.579 0.000
-2.854 0.000 7.650
K Ti C O
1 1 2 8
direct
0.000 0.000 0.000
0.500 0.500 0.500
0.188 0.188 0.643
0.812 0.812 0.357
0.096 0.663 0.334
0.323 0.323 0.601
0.337 0.904 0.666
0.420 0.420 0.996
0.580 0.580 0.004
0.663 0.096 0.334
0.677 0.677 0.399
0.904 0.337 0.666
```

Results
DOS at the Fermi energy = 3.93 states/eV/cell
M_tot = 0.99 μB per cell
calculated density = 2.4 g/cm3
raw formation energy = -1.56 eV per atom
final energy = -7.1508 eV/atom

Entry 5:
Below is a relaxed Mn2NiRu crystal, with properties calculated at the PBE level.

Structure (POSCAR):
```
Mn2NiRu
1.0
4.240 -1.292 0.000
4.240 1.292 0.000
-0.750 0.000 4.341
Mn Ni Ru
2 1 1
direct
0.248 0.248 0.242
0.752 0.752 0.758
0.500 0.500 0.000
0.000 0.000 0.500
```

Results
DOS at the Fermi energy = 5.64 states/eV/cell
M_tot = 2.91 μB per cell
energy relative to the elements = 0.462 eV per formula unit
calculated density = 9.4 g/cm3
final energy = -8.2337 eV/atom

Entry 6:
Below is a relaxed Te3RhAu crystal, with properties calculated at the PBE level.

Structure (POSCAR):
```
Te3RhAu
1.0
5.204 0.000 0.000
0.000 5.204 0.000
0.000 0.000 5.204
Te Rh Au
3 1 1
direct
0.000 0.000 0.500
0.000 0.500 0.000
0.500 0.000 0.000
0.000 0.000 0.000
0.500 0.500 0.500
```

Results
DOS at the Fermi energy = 8.64 states/eV/cell
M_tot = 0.00 μB per cell
E above lowest polymorph = 0.0000 eV per atom
calculated density = 8.0 g/cm3
raw formation energy = 0.52 eV per atom
final energy = -3.4926 eV/atom

Question: Which of these has the highest DOS at the Fermi energy?
Answer: Te3RhAu

Question: Which of these has the lowest DOS at the Fermi energy?
Answer: MgGaAgO

What did the fourth record say?
Below is a relaxed KTiC2O8 crystal, with properties calculated at the PBE level.

Structure (POSCAR):
```
KTiC2O8
1.0
4.176 -2.579 0.000
4.176 2.579 0.000
-2.854 0.000 7.650
K Ti C O
1 1 2 8
direct
0.000 0.000 0.000
0.500 0.500 0.500
0.188 0.188 0.643
0.812 0.812 0.357
0.096 0.663 0.334
0.323 0.323 0.601
0.337 0.904 0.666
0.420 0.420 0.996
0.580 0.580 0.004
0.663 0.096 0.334
0.677 0.677 0.399
0.904 0.337 0.666
```

Results
DOS at the Fermi energy = 3.93 states/eV/cell
M_tot = 0.99 μB per cell
calculated density = 2.4 g/cm3
raw formation energy = -1.56 eV per atom
final energy = -7.1508 eV/atom